# CrBi2PdO6 (PBE with a Hubbard U, relaxed)
data_CrBi2PdO6
_chemical_formula_sum 'Cr1 Bi2 Pd1 O6'
_cell_length_a 5.0096
_cell_length_b 5.3712
_cell_length_c 5.8044
_cell_angle_alpha 114.78
_cell_angle_beta 108.31
_cell_angle_gamma 90.50
_space_group_name_H-M_alt 'P 1'
_space_group_IT_number 1
loop_
_space_group_symop_operation_xyz
'x,y,z'
loop_
_atom_site_label
_atom_site_type_symbol
_atom_site_fract_x
_atom_site_fract_y
_atom_site_fract_z
_atom_site_occupancy
Cr1 Cr 0.0000 0.0000 0.0000 1
Bi1 Bi 0.2311 0.7633 0.4848 1
Bi2 Bi 0.7689 0.2367 0.5152 1
Pd1 Pd 0.5000 0.5000 0.0000 1
O1 O 0.1793 0.6647 0.8291 1
O2 O 0.1981 0.1597 0.8272 1
O3 O 0.2979 0.1317 0.3582 1
O4 O 0.7021 0.8683 0.6418 1
O5 O 0.8019 0.8403 0.1728 1
O6 O 0.8207 0.3353 0.1709 1
# E_tot = -6.18 eV/atom
# crystal system = triclinic